(1)
# SrCeBiAu

SrCeBiAu after structural relaxation (PBE-GGA, Alexandria).

Properties
The value obtained for the formation energy is -0.636 eV per atom.

a b c (Å): 7.8564 7.8564 7.8564
angles (deg): 90.00 90.00 90.00
Space group F-43m (No. 216)
Symmetry-distinct sites (fractional):
Sr 0.0000 0.0000 0.0000 x4
Ce 0.0000 0.0000 0.5000 x4
Bi 0.2500 0.2500 0.7500 x4
Au 0.2500 0.2500 0.2500 x4

---

(2)
# Ni2Sb2P

Ni2Sb2P after structural relaxation (PBE-GGA, Alexandria).

Properties
The uncorrected formation energy is 149.5 kJ/mol of formula units.

a b c (Å): 7.6438 7.6438 3.0328
angles (deg): 90.00 90.00 90.00
Space group P4/mbm (No. 127)
Symmetry-distinct sites (fractional):
Ni 0.1127 0.3873 0.0000 x4
Sb 0.1787 0.6787 0.5000 x4
P 0.0000 0.0000 0.5000 x2

---

(3)
# CaAlAg2

CaAlAg2 after structural relaxation (PBE-GGA, Alexandria).

Properties
The value obtained for the formation energy is -0.290 eV per atom.

a b c (Å): 7.7801 7.3486 5.9998
angles (deg): 90.00 90.00 90.00
Space group Pnma (No. 62)
Symmetry-distinct sites (fractional):
Ca 0.0282 0.2500 0.1439 x4
Al 0.1243 0.7500 0.3541 x4
Ag 0.1765 0.0535 0.5877 x8

---

| no. | total DFT energy (no corrections) (eV per atom) |
| --- | --- |
| 1 | -4.329 |
| 2 | -4.734 |
| 3 | -3.152 |